First-principles (PBEsol) data for an optimized crystal structure of ZnRu2Au, as listed in the Alexandria database.

Summary:
For the total energy, the calculation gives -6.264 eV per atom. The calculation puts the formation enthalpy at 0 K at 0.199 eV/atom.

Geometry as CIF:
```
data_ZnRu2Au
_chemical_formula_sum 'Zn2 Ru4 Au2'
_space_group_name_H-M_alt 'I -4 m 2'
_space_group_IT_number 119
_space_group_name_Hall 'I -4 -2'
_cell_length_a 3.8662
_cell_length_b 3.8662
_cell_length_c 7.5324
_cell_angle_alpha 90.00
_cell_angle_beta 90.00
_cell_angle_gamma 90.00
loop_
_atom_site_label
_atom_site_type_symbol
_atom_site_fract_x
_atom_site_fract_y
_atom_site_fract_z
Zn1 Zn 0.0000 0.0000 0.0000
Ru1 Ru 0.0000 0.0000 0.5000
Ru2 Ru 0.0000 0.5000 0.7500
Au1 Au 0.0000 0.5000 0.2500
```